# 1
# TiVH3 PBE-GGA relaxed
data_TiVH3
_chemical_formula_sum 'Ti6 V6 H18'
_cell_length_a 4.7204
_cell_length_b 4.7204
_cell_length_c 11.4906
_cell_angle_alpha 90.00
_cell_angle_beta 90.00
_cell_angle_gamma 120.00
_symmetry_space_group_name_H-M 'R 3 2'
_symmetry_Int_Tables_number 155
_symmetry_space_group_name_Hall 'R 3 2"'
loop_
_atom_site_label
_atom_site_type_symbol
_atom_site_fract_x
_atom_site_fract_y
_atom_site_fract_z
_atom_site_occupancy
Ti1 Ti 0.0000 0.0000 0.1251 1
V1 V 0.0000 0.0000 0.3706 1
H1 H 0.0175 0.2646 0.2517 1
# - crystal system = trigonal
# - offset from the most stable computed form (eV per formula unit) = 0.000

---

# 2
# LaBi3Pd PBE-GGA relaxed
data_LaBi3Pd
_chemical_formula_sum 'La1 Bi3 Pd1'
_cell_length_a 5.420
_cell_length_b 5.420
_cell_length_c 5.420
_cell_angle_alpha 90.00
_cell_angle_beta 90.00
_cell_angle_gamma 90.00
_symmetry_space_group_name_H-M 'P m -3 m'
_symmetry_Int_Tables_number 221
_symmetry_space_group_name_Hall '-P 4 2 3'
loop_
_atom_site_label
_atom_site_type_symbol
_atom_site_fract_x
_atom_site_fract_y
_atom_site_fract_z
_atom_site_occupancy
La1 La 0.000 0.000 0.000 1
Bi1 Bi 0.000 0.500 0.500 1
Pd1 Pd 0.500 0.500 0.500 1
# - crystal system = cubic
# - energy relative to the elements (eV/atom) = -0.24
# - offset from the most stable computed form (eV per formula unit) = 1.692

---

# 3
# CaMg2Te PBE-GGA relaxed
data_CaMg2Te
_chemical_formula_sum 'Ca4 Mg8 Te4'
_cell_length_a 8.977
_cell_length_b 8.977
_cell_length_c 6.111
_cell_angle_alpha 90.00
_cell_angle_beta 90.00
_cell_angle_gamma 90.00
_symmetry_space_group_name_H-M 'I -4 2 d'
_symmetry_Int_Tables_number 122
_symmetry_space_group_name_Hall 'I -4 2bw'
loop_
_atom_site_label
_atom_site_type_symbol
_atom_site_fract_x
_atom_site_fract_y
_atom_site_fract_z
_atom_site_occupancy
Ca1 Ca 0.000 0.000 0.000 1
Mg1 Mg 0.203 0.250 0.625 1
Te1 Te 0.000 0.000 0.500 1
# - crystal system = tetragonal
# - energy relative to the elements, uncorrected (eV per atom) = -0.420

---

# 4
# GaNiI2N PBE-GGA relaxed
data_GaNiI2N
_chemical_formula_sum 'Ga1 Ni1 I2 N1'
_cell_length_a 5.868
_cell_length_b 5.868
_cell_length_c 3.474
_cell_angle_alpha 90.00
_cell_angle_beta 90.00
_cell_angle_gamma 90.00
_symmetry_space_group_name_H-M 'P 4/m m m'
_symmetry_Int_Tables_number 123
_symmetry_space_group_name_Hall '-P 4 2'
loop_
_atom_site_label
_atom_site_type_symbol
_atom_site_fract_x
_atom_site_fract_y
_atom_site_fract_z
_atom_site_occupancy
Ga1 Ga 0.000 0.000 0.000 1
Ni1 Ni 0.500 0.500 0.500 1
I1 I 0.000 0.500 0.500 1
N1 N 0.500 0.500 0.000 1
# - crystal system = tetragonal
# - energy relative to the elements, uncorrected (eV per atom) = 0.407
# - offset from the most stable computed form (eV per formula unit) = 0.000

---

# 5
# KCdInBrO PBE-GGA relaxed
data_KCdInBrO
_chemical_formula_sum 'K2 Cd2 In2 Br2 O2'
_cell_length_a 3.567
_cell_length_b 4.432
_cell_length_c 17.548
_cell_angle_alpha 90.00
_cell_angle_beta 90.00
_cell_angle_gamma 90.00
_symmetry_space_group_name_H-M 'I m m 2'
_symmetry_Int_Tables_number 44
loop_
_symmetry_equiv_pos_as_xyz
'x,y,z'
'-x,-y,z'
'-x,y,z'
'x,-y,z'
'x+1/2,y+1/2,z+1/2'
'-x+1/2,-y+1/2,z+1/2'
'-x+1/2,y+1/2,z+1/2'
'x+1/2,-y+1/2,z+1/2'
loop_
_atom_site_label
_atom_site_type_symbol
_atom_site_fract_x
_atom_site_fract_y
_atom_site_fract_z
_atom_site_occupancy
K1 K 0.000 0.000 0.000 1
Cd1 Cd 0.000 0.500 0.237 1
In1 In 0.000 0.000 0.340 1
Br1 Br 0.000 0.000 0.609 1
O1 O 0.000 0.500 0.909 1
# - crystal system = orthorhombic
# - energy relative to the elements, uncorrected (eV per atom) = -0.947
# - offset from the most stable computed form (eV per formula unit) = 0.062

---

# 6
# Ac4LaSm PBE-GGA relaxed
data_Ac4LaSm
_chemical_formula_sum 'Ac8 La2 Sm2'
_cell_length_a 5.513
_cell_length_b 16.404
_cell_length_c 5.545
_cell_angle_alpha 90.00
_cell_angle_beta 90.00
_cell_angle_gamma 90.00
_symmetry_space_group_name_H-M 'C m m m'
_symmetry_Int_Tables_number 65
_symmetry_space_group_name_Hall '-C 2 2'
loop_
_atom_site_label
_atom_site_type_symbol
_atom_site_fract_x
_atom_site_fract_y
_atom_site_fract_z
_atom_site_occupancy
Ac1 Ac 0.000 0.161 0.000 1
Ac2 Ac 0.000 0.337 0.500 1
La1 La 0.000 0.000 0.500 1
Sm1 Sm 0.000 0.500 0.000 1
# - crystal system = orthorhombic
# - energy relative to the elements (eV/atom) = 0.03
# - offset from the most stable computed form (eV per formula unit) = 0.000

---

# 7
# LaHfH2 PBE-GGA relaxed
data_LaHfH2
_chemical_formula_sum 'La3 Hf3 H6'
_cell_length_a 3.2842
_cell_length_b 3.2842
_cell_length_c 18.3982
_cell_angle_alpha 90.00
_cell_angle_beta 90.00
_cell_angle_gamma 120.00
_symmetry_space_group_name_H-M 'R -3 m'
_symmetry_Int_Tables_number 166
_symmetry_space_group_name_Hall '-R 3 2"'
loop_
_atom_site_label
_atom_site_type_symbol
_atom_site_fract_x
_atom_site_fract_y
_atom_site_fract_z
_atom_site_occupancy
La1 La 0.0000 0.0000 0.0000 1
Hf1 Hf 0.0000 0.0000 0.5000 1
H1 H 0.0000 0.0000 0.2187 1
# - crystal system = trigonal
# - offset from the most stable computed form (eV per formula unit) = 0.000

---

# 8
# RbEr2IrO8 PBE-GGA relaxed
data_RbEr2IrO8
_chemical_formula_sum 'Rb1 Er2 Ir1 O8'
_cell_length_a 4.565
_cell_length_b 4.777
_cell_length_c 7.715
_cell_angle_alpha 94.02
_cell_angle_beta 97.89
_cell_angle_gamma 94.62
_symmetry_space_group_name_H-M 'P -1'
_symmetry_Int_Tables_number 2
loop_
_symmetry_equiv_pos_as_xyz
'x,y,z'
'-x,-y,-z'
loop_
_atom_site_label
_atom_site_type_symbol
_atom_site_fract_x
_atom_site_fract_y
_atom_site_fract_z
_atom_site_occupancy
Rb1 Rb 0.000 0.000 0.000 1
Er1 Er 0.430 0.461 0.717 1
Ir1 Ir 0.000 0.000 0.500 1
O1 O 0.100 0.708 0.335 1
O2 O 0.288 0.914 0.696 1
O3 O 0.293 0.265 0.436 1
O4 O 0.339 0.523 0.004 1
# - crystal system = triclinic
# - energy relative to the elements, uncorrected (eV per atom) = -1.819

---

# 9
# Ba2Al PBE-GGA relaxed
data_Ba2Al
_chemical_formula_sum 'Ba6 Al3'
_cell_length_a 8.9825
_cell_length_b 8.9825
_cell_length_c 5.6301
_cell_angle_alpha 90.00
_cell_angle_beta 90.00
_cell_angle_gamma 120.00
_symmetry_space_group_name_H-M 'P -6 2 m'
_symmetry_Int_Tables_number 189
_symmetry_space_group_name_Hall 'P -6 -2'
loop_
_atom_site_label
_atom_site_type_symbol
_atom_site_fract_x
_atom_site_fract_y
_atom_site_fract_z
_atom_site_occupancy
Ba1 Ba 0.0000 0.2569 0.0000 1
Ba2 Ba 0.0000 0.5872 0.5000 1
Al1 Al 0.0000 0.0000 0.5000 1
Al2 Al 0.3333 0.6667 0.0000 1
# - crystal system = hexagonal
# - energy relative to the elements (eV/atom) = -0.03

---

# 10
# La2TlGaH PBE-GGA relaxed
data_La2TlGaH
_chemical_formula_sum 'La2 Tl1 Ga1 H1'
_cell_length_a 5.078
_cell_length_b 5.078
_cell_length_c 4.502
_cell_angle_alpha 90.00
_cell_angle_beta 90.00
_cell_angle_gamma 90.00
_symmetry_space_group_name_H-M 'P 4/m m m'
_symmetry_Int_Tables_number 123
_symmetry_space_group_name_Hall '-P 4 2'
loop_
_atom_site_label
_atom_site_type_symbol
_atom_site_fract_x
_atom_site_fract_y
_atom_site_fract_z
_atom_site_occupancy
La1 La 0.000 0.500 0.000 1
Tl1 Tl 0.000 0.000 0.500 1
Ga1 Ga 0.500 0.500 0.500 1
H1 H 0.500 0.500 0.000 1
# - crystal system = tetragonal
# - offset from the most stable computed form (eV per formula unit) = 0.000

---

# 11
# Ba2NiAg PBE-GGA relaxed
data_Ba2NiAg
_chemical_formula_sum 'Ba2 Ni1 Ag1'
_cell_length_a 5.602
_cell_length_b 5.602
_cell_length_c 3.998
_cell_angle_alpha 90.00
_cell_angle_beta 90.00
_cell_angle_gamma 90.00
_symmetry_space_group_name_H-M 'P 4/m m m'
_symmetry_Int_Tables_number 123
_symmetry_space_group_name_Hall '-P 4 2'
loop_
_atom_site_label
_atom_site_type_symbol
_atom_site_fract_x
_atom_site_fract_y
_atom_site_fract_z
_atom_site_occupancy
Ba1 Ba 0.000 0.500 0.000 1
Ni1 Ni 0.000 0.000 0.500 1
Ag1 Ag 0.500 0.500 0.500 1
# - crystal system = tetragonal
# - energy relative to the elements (eV/atom) = 0.02
# - offset from the most stable computed form (eV per formula unit) = 0.289

---

# 12
# La8Ag2Os PBE-GGA relaxed
data_La8Ag2Os
_chemical_formula_sum 'La16 Ag4 Os2'
_cell_length_a 18.777
_cell_length_b 4.996
_cell_length_c 7.439
_cell_angle_alpha 90.00
_cell_angle_beta 92.93
_cell_angle_gamma 90.00
_symmetry_space_group_name_H-M 'C 1 2/m 1'
_symmetry_Int_Tables_number 12
loop_
_symmetry_equiv_pos_as_xyz
'x,y,z'
'-x,-y,-z'
'-x,y,-z'
'x,-y,z'
'x+1/2,y+1/2,z'
'-x+1/2,-y+1/2,-z'
'-x+1/2,y+1/2,-z'
'x+1/2,-y+1/2,z'
loop_
_atom_site_label
_atom_site_type_symbol
_atom_site_fract_x
_atom_site_fract_y
_atom_site_fract_z
_atom_site_occupancy
La1 La 0.005 0.000 0.273 1
La2 La 0.091 0.500 0.981 1
La3 La 0.145 0.500 0.500 1
La4 La 0.214 0.000 0.834 1
Ag1 Ag 0.181 0.000 0.245 1
Os1 Os 0.000 0.500 0.500 1
# - crystal system = monoclinic
# - energy relative to the elements (eV/atom) = -0.12
# - offset from the most stable computed form (eV per formula unit) = 0.000